Entry 1:
This record from Alexandria describes a relaxed structure of Tb2GaCu2Ni5. The functional is PBE.

Cell: 3.6429 8.9882 8.9882 Å, 90.00 90.00 90.00°
Last column: nearest neighbours and their distance in Å.
Element x y z (fractional)
Ni 0.5000 0.2968 0.5596  2 Cu 2.48, 2 Ga 2.63, 3 Ni 2.69-2.72
Ni 0.5000 0.7032 0.4404  2 Cu 2.48, 2 Ga 2.63, 3 Ni 2.69-2.72
Ni 0.5000 0.4404 0.2968  2 Cu 2.48, 2 Ga 2.63, 3 Ni 2.69-2.72
Ni 0.5000 0.9404 0.2032  2 Cu 2.48, 2 Ga 2.63, 3 Ni 2.69-2.72
Ni 0.5000 0.0596 0.7968  2 Cu 2.48, 2 Ga 2.63, 3 Ni 2.69-2.72
Ni 0.5000 0.7968 0.9404  2 Cu 2.48, 2 Ga 2.63, 3 Ni 2.69-2.72
Ni 0.5000 0.0000 0.5000  4 Cu 2.37
Ni 0.5000 0.5596 0.7032  2 Cu 2.48, 2 Ga 2.63, 3 Ni 2.69-2.72
Ni 0.5000 0.2032 0.0596  2 Cu 2.48, 2 Ga 2.63, 3 Ni 2.69-2.72
Ni 0.5000 0.5000 0.0000  4 Cu 2.37
Cu 0.0000 0.3812 0.1188  6 Ni 2.37-2.48, 1 Tb 2.57
Cu 0.0000 0.8812 0.3812  6 Ni 2.37-2.48, 1 Tb 2.57
Cu 0.0000 0.6188 0.8812  6 Ni 2.37-2.48, 1 Tb 2.57
Cu 0.0000 0.1188 0.6188  6 Ni 2.37-2.48, 1 Tb 2.57
Tb 0.0000 0.1786 0.3214  3 Cu 2.57-2.73
Tb 0.0000 0.3214 0.8214  3 Cu 2.57-2.73
Tb 0.0000 0.8214 0.6786  3 Cu 2.57-2.73
Tb 0.0000 0.6786 0.1786  3 Cu 2.57-2.73
Ga 0.0000 0.5000 0.5000  8 Ni 2.63
Ga 0.0000 0.0000 0.0000  8 Ni 2.63

- Symmetry: P4/mbm (127)
- Fermi-level density of states: 0.3997 states/eV per atom
- Magnetization: 0.00 μB per formula unit

---

Entry 2:
This record from Alexandria describes a relaxed structure of Pr7NiPb4. The functional is PBE.

Cell: 5.5126 9.7170 8.5966 Å, 77.37 71.30 73.52°
Last column: nearest neighbours and their distance in Å.
Element x y z (fractional)
Pr 0.7895 0.8676 0.5534  4 Pb 3.18-3.42
Pr 0.3586 0.5532 0.7296  5 Pb 3.28-3.39
Pr 0.2105 0.1324 0.4466  4 Pb 3.18-3.42
Pr 0.0765 0.7190 0.1280  1 Ni 2.68
Pr 0.6414 0.4468 0.2704  5 Pb 3.28-3.39
Pr 0.5000 0.0000 0.0000  2 Ni 2.76
Pr 0.9235 0.2810 0.8720  1 Ni 2.68
Pb 0.5774 0.2203 0.6249  8 Pr 3.27-3.50
Pb 0.7236 0.6570 0.8958  8 Pr 3.18-3.54
Pb 0.4226 0.7797 0.3751  8 Pr 3.27-3.50
Pb 0.2764 0.3430 0.1042  8 Pr 3.18-3.54
Ni 0.0000 0.0000 0.0000  4 Pr 2.68-2.76

- Symmetry: C2/m (12)
- Fermi-level density of states: 1.0100 states/eV per atom
- Magnetization: 0.00 μB per formula unit

---

Entry 3:
This record from Alexandria describes a relaxed structure of Th3Tc2B9. The functional is PBE.

Cell: 3.1675 8.1915 8.1915 Å, 61.96 78.85 78.85°
Last column: nearest neighbours and their distance in Å.
Element x y z (fractional)
B 0.6335 0.0600 0.6729  2 B 1.69
B 0.3665 0.9400 0.3271  2 B 1.69
B 0.1271 0.6100 0.1358  2 B 1.69
B 0.6335 0.6729 0.0600  2 B 1.69
B 0.8729 0.3900 0.8642  2 B 1.69
B 0.3665 0.3271 0.9400  2 B 1.69
B 0.8729 0.8642 0.3900  2 B 1.69
B 0.0000 0.5000 0.5000  4 Tc 2.13
B 0.1271 0.1358 0.6100  2 B 1.69
Th 0.0000 0.0000 0.0000  12 B 2.82-2.92
Th 0.2662 0.7338 0.7338  12 B 2.91-2.94, 2 Th 3.17
Th 0.7338 0.2662 0.2662  12 B 2.91-2.94, 2 Th 3.17
Tc 0.5000 0.3313 0.6687  4 B 2.13-2.17
Tc 0.5000 0.6687 0.3313  4 B 2.13-2.17

- Symmetry: Immm (71)
- Fermi-level density of states: 0.6608 states/eV per atom
- Magnetization: 0.00 μB per formula unit

---

no.,calculated total energy (eV/cell),DFT formation energy (meV/atom)
1,-104.80,-301
2,-57.24,-264
3,-106.87,-270